# 1
Material: Hf3ZrO
Method: DFT, GGA-PBE
State: optimized geometry

Properties
As for the energy above the lowest structure with this stoichiometry: 0.2 kJ per mole of atoms. The value obtained for the raw formation energy is -102.5 kJ/mol of atoms.

CIF file:
```
data_Hf3ZrO
_chemical_formula_sum 'Hf3 Zr1 O1'
_cell_length_a 4.517
_cell_length_b 4.517
_cell_length_c 4.517
_cell_angle_alpha 90.00
_cell_angle_beta 90.00
_cell_angle_gamma 90.00
_symmetry_space_group_name_H-M 'P m -3 m'
_symmetry_Int_Tables_number 221
_symmetry_space_group_name_Hall '-P 4 2 3'
loop_
_atom_site_label
_atom_site_type_symbol
_atom_site_fract_x
_atom_site_fract_y
_atom_site_fract_z
Hf1 Hf 0.000 0.000 0.500
Zr1 Zr 0.500 0.500 0.500
O1 O 0.000 0.000 0.000
```

# 2
Material: KH6I2N2
Method: DFT, GGA-PBE
State: optimized geometry

CIF file:
```
data_KH6I2N2
_chemical_formula_sum 'K1 H6 I2 N2'
_cell_length_a 6.545
_cell_length_b 6.592
_cell_length_c 6.834
_cell_angle_alpha 108.18
_cell_angle_beta 108.21
_cell_angle_gamma 102.07
_symmetry_space_group_name_H-M 'P -1'
_symmetry_Int_Tables_number 2
loop_
_symmetry_equiv_pos_as_xyz
'x,y,z'
'-x,-y,-z'
loop_
_atom_site_label
_atom_site_type_symbol
_atom_site_fract_x
_atom_site_fract_y
_atom_site_fract_z
K1 K 0.000 0.000 0.000
H1 H 0.022 0.491 0.762
H2 H 0.252 0.652 0.765
H3 H 0.259 0.621 0.996
I1 I 0.498 0.748 0.493
N1 N 0.158 0.639 0.858
```

# 3
Material: CaCuP4Ru2O14
Method: DFT, GGA-PBE
State: optimized geometry

Properties
As for the energy above the lowest structure with this stoichiometry: 0.9 kJ per mole of atoms. The value obtained for the raw formation energy is -169.0 kJ/mol of atoms.

CIF file:
```
data_CaCuP4Ru2O14
_chemical_formula_sum 'Ca1 Cu1 P4 Ru2 O14'
_cell_length_a 5.019
_cell_length_b 6.800
_cell_length_c 8.651
_cell_angle_alpha 92.03
_cell_angle_beta 93.86
_cell_angle_gamma 104.19
_symmetry_space_group_name_H-M 'P 1'
_symmetry_Int_Tables_number 1
loop_
_symmetry_equiv_pos_as_xyz
'x,y,z'
loop_
_atom_site_label
_atom_site_type_symbol
_atom_site_fract_x
_atom_site_fract_y
_atom_site_fract_z
Ca1 Ca 0.000 0.000 0.000
Cu1 Cu 0.900 0.697 0.252
P1 P 0.336 0.633 0.443
P2 P 0.536 0.157 0.801
P3 P 0.924 0.537 0.903
P4 P 0.950 0.241 0.359
Ru1 Ru 0.434 0.385 0.129
Ru2 Ru 0.935 0.892 0.620
O1 O 0.059 0.725 0.819
O2 O 0.109 0.406 0.966
O3 O 0.124 0.769 0.448
O4 O 0.127 0.173 0.235
O5 O 0.167 0.406 0.475
O6 O 0.291 0.116 0.684
O7 O 0.422 0.636 0.274
O8 O 0.470 0.138 0.976
O9 O 0.567 0.684 0.570
O10 O 0.693 0.392 0.784
O11 O 0.743 0.026 0.783
O12 O 0.748 0.354 0.289
O13 O 0.759 0.615 0.034
O14 O 0.811 0.065 0.451
```

# 4
Material: Li2P3Rh5
Method: DFT, GGA-PBE
State: optimized geometry

Properties
For the formation energy, the calculation gives -70 kJ/mol of atoms.

CIF file:
```
data_Li2P3Rh5
_chemical_formula_sum 'Li8 P12 Rh20'
_cell_length_a 3.817
_cell_length_b 23.538
_cell_length_c 6.047
_cell_angle_alpha 90.00
_cell_angle_beta 90.00
_cell_angle_gamma 90.00
_symmetry_space_group_name_H-M 'C m c 21'
_symmetry_Int_Tables_number 36
loop_
_symmetry_equiv_pos_as_xyz
'x,y,z'
'-x,-y,z+1/2'
'-x,y,z'
'x,-y,z+1/2'
'x+1/2,y+1/2,z'
'-x+1/2,-y+1/2,z+1/2'
'-x+1/2,y+1/2,z'
'x+1/2,-y+1/2,z+1/2'
loop_
_atom_site_label
_atom_site_type_symbol
_atom_site_fract_x
_atom_site_fract_y
_atom_site_fract_z
Li1 Li 0.000 0.020 0.000
Li2 Li 0.000 0.333 0.951
P1 P 0.000 0.105 0.232
P2 P 0.000 0.276 0.429
P3 P 0.000 0.457 0.215
Rh1 Rh 0.000 0.094 0.627
Rh2 Rh 0.000 0.201 0.171
Rh3 Rh 0.000 0.210 0.708
Rh4 Rh 0.000 0.375 0.463
Rh5 Rh 0.000 0.449 0.831
```

The records above give, respectively, VASP energy values of -0.358 -0.156 -0.258 -0.235 Ha/atom.
The records above give, respectively, total moment values of 0.00 0.00 1.10 0.00 μB per formula unit.